No. 1
Zr2GaPt | GGA-PBE | relaxed Values from VASP.

Properties
crystal system: monoclinic
total moment: 0.00 μB/f.u.
ΔE_f: -799 meV per atom
total energy: -58.7 eV for the cell shown

Structure (Quantum ESPRESSO input):
```
&SYSTEM
  ibrav = 0, nat = 8, ntyp = 3
/
ATOMIC_SPECIES
Zr 91.22 Zr.upf
Ga 69.72 Ga.upf
Pt 195.08 Pt.upf
CELL_PARAMETERS angstrom
4.223 0.000 0.000
0.000 5.281 -1.876
0.000 -0.132 7.048
ATOMIC_POSITIONS crystal
Zr 0.750 0.190 0.427
Zr 0.250 0.810 0.573
Zr 0.250 0.785 0.078
Zr 0.750 0.215 0.922
Ga 0.250 0.328 0.216
Ga 0.750 0.672 0.784
Pt 0.750 0.650 0.301
Pt 0.250 0.350 0.699
```



No. 2
Zr3GaPt | GGA-PBE | relaxed Values from VASP.

Properties
crystal system: cubic
offset from the most stable computed form: 0.000 eV per formula unit
total moment: 0.00 μB/f.u.
ΔE_f: 160 meV per atom
total energy: -33.9 eV for the cell shown

Structure (Quantum ESPRESSO input):
```
&SYSTEM
  ibrav = 0, nat = 5, ntyp = 3
/
ATOMIC_SPECIES
Ga 69.72 Ga.upf
Zr 91.22 Zr.upf
Pt 195.08 Pt.upf
CELL_PARAMETERS angstrom
-0.672 -2.764 -4.287
0.032 -4.326 2.784
-5.101 0.337 0.582
ATOMIC_POSITIONS crystal
Ga 0.500 0.500 0.500
Zr 0.000 0.500 0.000
Zr 0.000 0.000 0.500
Zr 0.500 0.000 0.000
Pt 0.000 0.000 0.000
```



No. 3
Zr2GaPt | GGA-PBE | relaxed Values from VASP.

Properties
crystal system: trigonal
total moment: 0.00 μB/f.u.
ΔE_f: -531 meV per atom
total energy: -28.3 eV for the cell shown

Structure (Quantum ESPRESSO input):
```
&SYSTEM
  ibrav = 0, nat = 4, ntyp = 3
/
ATOMIC_SPECIES
Zr 91.22 Zr.upf
Ga 69.72 Ga.upf
Pt 195.08 Pt.upf
CELL_PARAMETERS angstrom
-1.722 3.892 -0.876
-1.812 2.340 3.184
3.294 4.267 1.704
ATOMIC_POSITIONS crystal
Zr 0.900 0.663 0.537
Zr 0.699 0.461 0.142
Ga 0.115 0.877 0.893
Pt 0.497 0.260 0.746
```



No. 4
Zr2GaPt | GGA-PBE | relaxed Values from VASP.

Properties
crystal system: tetragonal
total moment: 0.00 μB/f.u.
ΔE_f: -726 meV per atom
total energy: -29.1 eV for the cell shown

Structure (Quantum ESPRESSO input):
```
&SYSTEM
  ibrav = 0, nat = 4, ntyp = 3
/
ATOMIC_SPECIES
Ga 69.72 Ga.upf
Zr 91.22 Zr.upf
Pt 195.08 Pt.upf
CELL_PARAMETERS angstrom
-0.920 0.023 2.914
0.172 -3.050 0.079
7.601 0.492 2.397
ATOMIC_POSITIONS crystal
Ga 0.500 0.500 0.000
Zr 0.000 0.000 0.747
Zr 0.000 0.000 0.253
Pt 0.500 0.500 0.500
```



No. 5
Zr2Ga5Pt3 | GGA-PBE | relaxed Values from VASP.

Properties
crystal system: orthorhombic
total moment: 0.00 μB/f.u.
ΔE_f: -783 meV per atom
total energy: -116.4 eV for the cell shown

Structure (Quantum ESPRESSO input):
```
&SYSTEM
  ibrav = 0, nat = 20, ntyp = 3
/
ATOMIC_SPECIES
Zr 91.22 Zr.upf
Ga 69.72 Ga.upf
Pt 195.08 Pt.upf
CELL_PARAMETERS angstrom
-2.516 -3.104 -1.296
-1.034 -1.830 6.391
-8.376 9.111 1.253
ATOMIC_POSITIONS crystal
Zr 0.481 0.744 0.961
Zr 0.173 0.736 0.345
Zr 0.827 0.236 0.655
Zr 0.519 0.244 0.039
Ga 0.397 0.395 0.794
Ga 0.292 0.512 0.584
Ga 0.708 0.012 0.416
Ga 0.119 0.258 0.238
Ga 0.293 0.940 0.586
Ga 0.951 0.081 0.901
Ga 0.707 0.440 0.414
Ga 0.881 0.758 0.762
Ga 0.049 0.581 0.099
Ga 0.603 0.895 0.206
Pt 0.777 0.724 0.555
Pt 0.606 0.508 0.211
Pt 0.050 0.967 0.100
Pt 0.223 0.224 0.445
Pt 0.950 0.467 0.900
Pt 0.394 0.008 0.789
```



No. 6
Zr4GaPt | GGA-PBE | relaxed Values from VASP.

Properties
crystal system: tetragonal
offset from the most stable computed form: 0.000 eV per formula unit
total moment: 0.00 μB/f.u.
ΔE_f: -598 meV per atom
total energy: -46.8 eV for the cell shown

Structure (Quantum ESPRESSO input):
```
&SYSTEM
  ibrav = 0, nat = 6, ntyp = 3
/
ATOMIC_SPECIES
Zr 91.22 Zr.upf
Ga 69.72 Ga.upf
Pt 195.08 Pt.upf
CELL_PARAMETERS angstrom
5.295 -0.136 -1.407
-3.160 4.251 -1.407
0.071 0.136 5.478
ATOMIC_POSITIONS crystal
Zr 0.593 0.093 0.186
Zr 0.907 0.407 0.814
Zr 0.093 0.907 0.500
Zr 0.407 0.593 0.500
Ga 0.500 0.500 0.000
Pt 0.000 0.000 0.000
```



No. 7
Zr2GaPt | GGA-PBE | relaxed Values from VASP.

Properties
crystal system: tetragonal
total moment: 0.00 μB/f.u.
ΔE_f: -99 meV per atom
total energy: -53.1 eV for the cell shown

Structure (Quantum ESPRESSO input):
```
&SYSTEM
  ibrav = 0, nat = 8, ntyp = 3
/
ATOMIC_SPECIES
Ga 69.72 Ga.upf
Zr 91.22 Zr.upf
Pt 195.08 Pt.upf
CELL_PARAMETERS angstrom
4.208 0.000 0.000
0.000 4.208 0.000
2.104 2.104 9.492
ATOMIC_POSITIONS crystal
Ga 0.500 0.500 0.000
Ga 0.250 0.750 0.500
Zr 0.618 0.125 0.250
Zr 0.132 0.625 0.250
Zr 0.375 0.382 0.750
Zr 0.875 0.868 0.750
Pt 0.000 0.000 0.000
Pt 0.750 0.250 0.500
```



No. 8
Zr5Ga2Pt | GGA-PBE | relaxed Values from VASP.

Properties
crystal system: tetragonal
total moment: 0.00 μB/f.u.
ΔE_f: -567 meV per atom
total energy: -118.7 eV for the cell shown

Structure (Quantum ESPRESSO input):
```
&SYSTEM
  ibrav = 0, nat = 16, ntyp = 3
/
ATOMIC_SPECIES
Zr 91.22 Zr.upf
Ga 69.72 Ga.upf
Pt 195.08 Pt.upf
CELL_PARAMETERS angstrom
-3.982 -3.709 -4.548
5.227 -4.739 -0.711
-3.045 0.817 7.530
ATOMIC_POSITIONS crystal
Zr 0.514 0.683 0.697
Zr 0.817 0.986 0.303
Zr 0.000 0.000 0.000
Zr 0.500 0.500 0.000
Zr 0.183 0.014 0.697
Zr 0.683 0.183 0.697
Zr 0.014 0.514 0.697
Zr 0.317 0.817 0.303
Zr 0.986 0.486 0.303
Zr 0.486 0.317 0.303
Ga 0.130 0.370 0.000
Ga 0.630 0.130 0.000
Ga 0.370 0.870 0.000
Ga 0.870 0.630 0.000
Pt 0.750 0.750 0.500
Pt 0.250 0.250 0.500
```



No. 9
Zr2GaPt4 | GGA-PBE | relaxed Values from VASP.

Properties
crystal system: tetragonal
total moment: 0.00 μB/f.u.
ΔE_f: -182 meV per atom
total energy: -45.6 eV for the cell shown

Structure (Quantum ESPRESSO input):
```
&SYSTEM
  ibrav = 0, nat = 7, ntyp = 3
/
ATOMIC_SPECIES
Zr 91.22 Zr.upf
Ga 69.72 Ga.upf
Pt 195.08 Pt.upf
CELL_PARAMETERS angstrom
4.581 0.000 0.000
0.000 4.581 0.000
-2.291 -2.291 6.936
ATOMIC_POSITIONS crystal
Zr 0.361 0.361 0.723
Zr 0.639 0.639 0.277
Ga 0.000 0.000 0.000
Pt 0.820 0.820 0.640
Pt 0.180 0.180 0.360
Pt 0.000 0.500 0.000
Pt 0.500 0.000 0.000
```



No. 10
ZrGaPt2 | GGA-PBE | relaxed Values from VASP.

Properties
crystal system: tetragonal
total moment: 0.00 μB/f.u.
ΔE_f: -792 meV per atom
total energy: -26.8 eV for the cell shown

Structure (Quantum ESPRESSO input):
```
&SYSTEM
  ibrav = 0, nat = 4, ntyp = 3
/
ATOMIC_SPECIES
Ga 69.72 Ga.upf
Zr 91.22 Zr.upf
Pt 195.08 Pt.upf
CELL_PARAMETERS angstrom
3.091 0.000 0.000
0.000 3.091 0.000
0.000 0.000 7.049
ATOMIC_POSITIONS crystal
Ga 0.500 0.500 0.000
Zr 0.500 0.500 0.500
Pt 0.000 0.000 0.779
Pt 0.000 0.000 0.221
```



No. 11
Zr6Ga16Pt7 | GGA-PBE | relaxed Values from VASP.

Properties
crystal system: cubic
total moment: 0.00 μB/f.u.
ΔE_f: -678 meV per atom
total energy: -161.7 eV for the cell shown

Structure (Quantum ESPRESSO input):
```
&SYSTEM
  ibrav = 0, nat = 29, ntyp = 3
/
ATOMIC_SPECIES
Zr 91.22 Zr.upf
Ga 69.72 Ga.upf
Pt 195.08 Pt.upf
CELL_PARAMETERS angstrom
8.862 0.000 0.000
4.431 7.675 0.000
4.431 2.558 7.236
ATOMIC_POSITIONS crystal
Zr 0.692 0.692 0.308
Zr 0.308 0.692 0.308
Zr 0.692 0.308 0.308
Zr 0.308 0.308 0.692
Zr 0.692 0.308 0.692
Zr 0.308 0.692 0.692
Ga 0.879 0.879 0.364
Ga 0.879 0.364 0.879
Ga 0.364 0.879 0.879
Ga 0.879 0.879 0.879
Ga 0.121 0.121 0.636
Ga 0.121 0.636 0.121
Ga 0.636 0.121 0.121
Ga 0.121 0.121 0.121
Ga 0.658 0.658 0.026
Ga 0.658 0.026 0.658
Ga 0.026 0.658 0.658
Ga 0.658 0.658 0.658
Ga 0.342 0.342 0.974
Ga 0.342 0.974 0.342
Ga 0.974 0.342 0.342
Ga 0.342 0.342 0.342
Pt 0.000 0.000 0.000
Pt 0.000 0.000 0.500
Pt 0.500 0.000 0.500
Pt 0.000 0.500 0.500
Pt 0.500 0.500 0.000
Pt 0.000 0.500 0.000
Pt 0.500 0.000 0.000
```



No. 12
ZrGaPt2 | GGA-PBE | relaxed Values from VASP.

Properties
crystal system: tetragonal
total moment: 0.00 μB/f.u.
ΔE_f: -477 meV per atom
total energy: -51.1 eV for the cell shown

Structure (Quantum ESPRESSO input):
```
&SYSTEM
  ibrav = 0, nat = 8, ntyp = 3
/
ATOMIC_SPECIES
Ga 69.72 Ga.upf
Zr 91.22 Zr.upf
Pt 195.08 Pt.upf
CELL_PARAMETERS angstrom
4.107 0.000 0.000
0.000 4.107 0.000
2.054 2.054 8.963
ATOMIC_POSITIONS crystal
Ga 0.500 0.500 0.000
Ga 0.250 0.750 0.500
Zr 0.000 0.000 0.000
Zr 0.750 0.250 0.500
Pt 0.607 0.125 0.250
Pt 0.143 0.625 0.250
Pt 0.375 0.393 0.750
Pt 0.875 0.857 0.750
```



No. 13
Zr4GaPt | GGA-PBE | relaxed Values from VASP.

Properties
crystal system: tetragonal
offset from the most stable computed form: 0.844 eV per formula unit
total moment: 0.00 μB/f.u.
ΔE_f: -457 meV per atom
total energy: -92.0 eV for the cell shown

Structure (Quantum ESPRESSO input):
```
&SYSTEM
  ibrav = 0, nat = 12, ntyp = 3
/
ATOMIC_SPECIES
Zr 91.22 Zr.upf
Ga 69.72 Ga.upf
Pt 195.08 Pt.upf
CELL_PARAMETERS angstrom
-5.939 -1.843 2.410
2.094 -6.323 0.324
3.780 4.967 3.887
ATOMIC_POSITIONS crystal
Zr 0.480 0.980 0.279
Zr 0.980 0.799 0.279
Zr 0.299 0.480 0.279
Zr 0.701 0.520 0.721
Zr 0.020 0.201 0.721
Zr 0.520 0.020 0.721
Zr 0.201 0.701 0.721
Zr 0.799 0.299 0.279
Ga 0.250 0.250 0.500
Ga 0.750 0.750 0.500
Pt 0.500 0.500 0.000
Pt 0.000 0.000 0.000
```



No. 14
ZrGaPt2 | GGA-PBE | relaxed Values from VASP.

Properties
crystal system: tetragonal
total moment: 0.00 μB/f.u.
ΔE_f: -758 meV per atom
total energy: -26.7 eV for the cell shown

Structure (Quantum ESPRESSO input):
```
&SYSTEM
  ibrav = 0, nat = 4, ntyp = 3
/
ATOMIC_SPECIES
Ga 69.72 Ga.upf
Zr 91.22 Zr.upf
Pt 195.08 Pt.upf
CELL_PARAMETERS angstrom
-1.974 3.566 0.150
-2.970 -1.547 -2.326
-1.977 -1.235 3.345
ATOMIC_POSITIONS crystal
Ga 0.500 0.500 0.500
Zr 0.500 0.000 0.000
Pt 0.000 0.000 0.500
Pt 0.000 0.500 0.000
```



No. 15
Zr2Ga3Pt | GGA-PBE | relaxed Values from VASP.

Properties
crystal system: orthorhombic
total moment: 0.00 μB/f.u.
ΔE_f: -699 meV per atom
total energy: -72.8 eV for the cell shown

Structure (Quantum ESPRESSO input):
```
&SYSTEM
  ibrav = 0, nat = 12, ntyp = 3
/
ATOMIC_SPECIES
Zr 91.22 Zr.upf
Ga 69.72 Ga.upf
Pt 195.08 Pt.upf
CELL_PARAMETERS angstrom
5.246 1.329 0.000
0.284 5.405 0.000
-2.765 -3.367 7.632
ATOMIC_POSITIONS crystal
Zr 0.750 0.250 0.500
Zr 0.748 0.252 0.000
Zr 0.250 0.750 0.500
Zr 0.252 0.748 0.000
Ga 0.830 0.830 0.166
Ga 0.664 0.664 0.834
Ga 0.170 0.170 0.834
Ga 0.336 0.336 0.166
Ga 0.166 0.166 0.333
Ga 0.834 0.834 0.667
Pt 0.669 0.669 0.337
Pt 0.331 0.331 0.663
```



No. 16
Zr3Ga2Pt4 | GGA-PBE | relaxed Values from VASP.

Properties
crystal system: triclinic
total moment: 0.00 μB/f.u.
ΔE_f: -833 meV per atom
total energy: -63.4 eV for the cell shown

Structure (Quantum ESPRESSO input):
```
&SYSTEM
  ibrav = 0, nat = 9, ntyp = 3
/
ATOMIC_SPECIES
Ga 69.72 Ga.upf
Zr 91.22 Zr.upf
Pt 195.08 Pt.upf
CELL_PARAMETERS angstrom
4.199 -0.004 0.005
-2.097 4.765 0.094
0.011 -0.781 8.398
ATOMIC_POSITIONS crystal
Ga 0.664 0.327 0.790
Ga 0.336 0.673 0.210
Zr 0.627 0.251 0.396
Zr 0.000 0.000 0.000
Zr 0.373 0.749 0.604
Pt 0.303 0.606 0.905
Pt 0.909 0.820 0.371
Pt 0.091 0.180 0.629
Pt 0.697 0.394 0.095
```



No. 17
ZrGaPt2 | GGA-PBE | relaxed Values from VASP.

Properties
crystal system: orthorhombic
total moment: 0.00 μB/f.u.
ΔE_f: -975 meV per atom
total energy: -55.1 eV for the cell shown

Structure (Quantum ESPRESSO input):
```
&SYSTEM
  ibrav = 0, nat = 8, ntyp = 3
/
ATOMIC_SPECIES
Zr 91.22 Zr.upf
Ga 69.72 Ga.upf
Pt 195.08 Pt.upf
CELL_PARAMETERS angstrom
-2.318 -2.751 -0.652
5.553 -4.264 -1.756
1.562 -0.137 5.274
ATOMIC_POSITIONS crystal
Zr 0.955 0.750 0.911
Zr 0.045 0.250 0.089
Ga 0.237 0.750 0.474
Ga 0.763 0.250 0.526
Pt 0.629 0.951 0.258
Pt 0.371 0.451 0.742
Pt 0.629 0.549 0.258
Pt 0.371 0.049 0.742
```



No. 18
ZrGaPt5 | GGA-PBE | relaxed Values from VASP.

Properties
crystal system: tetragonal
total moment: 0.00 μB/f.u.
ΔE_f: -843 meV per atom
total energy: -47.7 eV for the cell shown

Structure (Quantum ESPRESSO input):
```
&SYSTEM
  ibrav = 0, nat = 7, ntyp = 3
/
ATOMIC_SPECIES
Zr 91.22 Zr.upf
Ga 69.72 Ga.upf
Pt 195.08 Pt.upf
CELL_PARAMETERS angstrom
-0.160 3.484 -2.043
-3.964 0.257 0.748
1.379 3.620 6.067
ATOMIC_POSITIONS crystal
Zr 0.000 0.000 0.500
Ga 0.500 0.500 0.000
Pt 0.000 0.500 0.780
Pt 0.000 0.500 0.220
Pt 0.500 0.000 0.780
Pt 0.500 0.000 0.220
Pt 0.500 0.500 0.500
```



No. 19
Zr2GaPt9 | GGA-PBE | relaxed Values from VASP.

Properties
crystal system: tetragonal
total moment: 0.00 μB/f.u.
ΔE_f: -862 meV per atom
total energy: -84.8 eV for the cell shown

Structure (Quantum ESPRESSO input):
```
&SYSTEM
  ibrav = 0, nat = 12, ntyp = 3
/
ATOMIC_SPECIES
Zr 91.22 Zr.upf
Ga 69.72 Ga.upf
Pt 195.08 Pt.upf
CELL_PARAMETERS angstrom
-3.970 0.461 -0.483
0.225 -1.819 -3.585
-1.875 -10.630 5.275
ATOMIC_POSITIONS crystal
Zr 0.000 0.000 0.328
Zr 0.000 0.000 0.672
Ga 0.000 0.000 0.000
Pt 0.500 0.500 0.000
Pt 0.500 0.500 0.331
Pt 0.500 0.500 0.669
Pt 0.500 0.000 0.163
Pt 0.500 0.000 0.500
Pt 0.500 0.000 0.837
Pt 0.000 0.500 0.163
Pt 0.000 0.500 0.500
Pt 0.000 0.500 0.837
```



No. 20
Zr6Ga3Pt | GGA-PBE | relaxed Values from VASP.

Properties
crystal system: monoclinic
total moment: 0.00 μB/f.u.
ΔE_f: -388 meV per atom
total energy: -140.6 eV for the cell shown

Structure (Quantum ESPRESSO input):
```
&SYSTEM
  ibrav = 0, nat = 20, ntyp = 3
/
ATOMIC_SPECIES
Zr 91.22 Zr.upf
Ga 69.72 Ga.upf
Pt 195.08 Pt.upf
CELL_PARAMETERS angstrom
-3.466 -3.253 2.629
2.471 -6.069 -4.253
6.923 -2.046 6.944
ATOMIC_POSITIONS crystal
Zr 0.584 0.169 0.926
Zr 0.590 0.173 0.573
Zr 0.646 0.465 0.250
Zr 0.354 0.535 0.750
Zr 0.410 0.827 0.427
Zr 0.416 0.831 0.074
Zr 0.084 0.331 0.426
Zr 0.090 0.327 0.073
Zr 0.146 0.035 0.750
Zr 0.854 0.965 0.250
Zr 0.910 0.673 0.927
Zr 0.916 0.669 0.574
Ga 0.607 0.872 0.744
Ga 0.500 0.500 0.000
Ga 0.393 0.128 0.256
Ga 0.107 0.628 0.244
Ga 0.000 0.000 0.500
Ga 0.893 0.372 0.756
Pt 0.500 0.500 0.500
Pt 0.000 0.000 0.000
```



No. 21
Zr2Ga3Pt4 | GGA-PBE | relaxed Values from VASP.

Properties
crystal system: orthorhombic
total moment: 0.00 μB/f.u.
ΔE_f: -854 meV per atom
total energy: -116.1 eV for the cell shown

Structure (Quantum ESPRESSO input):
```
&SYSTEM
  ibrav = 0, nat = 18, ntyp = 3
/
ATOMIC_SPECIES
Zr 91.22 Zr.upf
Ga 69.72 Ga.upf
Pt 195.08 Pt.upf
CELL_PARAMETERS angstrom
5.476 0.000 0.000
0.000 7.520 0.000
-2.738 0.000 7.475
ATOMIC_POSITIONS crystal
Zr 0.102 0.598 0.204
Zr 0.898 0.402 0.796
Zr 0.398 0.098 0.796
Zr 0.602 0.902 0.204
Ga 0.000 0.000 0.000
Ga 0.500 0.500 0.000
Ga 0.516 0.750 0.531
Ga 0.984 0.250 0.469
Ga 0.484 0.250 0.469
Ga 0.016 0.750 0.531
Pt 0.691 0.750 0.883
Pt 0.809 0.250 0.117
Pt 0.309 0.250 0.117
Pt 0.191 0.750 0.883
Pt 0.178 0.977 0.355
Pt 0.822 0.023 0.645
Pt 0.322 0.477 0.645
Pt 0.678 0.523 0.355
```